# 1
DyV2Fe9 | PBE | optimized geometry

Structure (POSCAR):
```
DyV2Fe9
1.0
4.6327 0.0000 1.3787
2.1112 4.1237 1.3787
0.0627 0.0383 8.2618
V Fe Dy
2 9 1
Direct
0.1451 0.1451 0.5647
0.8549 0.8549 0.4353
0.4100 0.9166 0.2634
0.0834 0.5900 0.7366
0.6667 0.6667 0.9998
0.3333 0.3333 0.0002
0.4100 0.4100 0.2634
0.5900 0.5900 0.7366
0.5900 0.0834 0.7366
0.5000 0.5000 0.5000
0.9166 0.4100 0.2634
0.0000 0.0000 0.0000
```

Energy of formation in meV per atom: -41
M_tot in μB per formula unit: 13.442
Crystal system: trigonal
Volume in Å³/f.u.: 157.3

# 2
DyV2Fe | PBE | optimized geometry

Structure (POSCAR):
```
DyV2Fe
1.0
3.9402 0.0000 0.0000
1.9701 3.4123 0.0000
1.9701 1.1374 5.3783
V Fe Dy
2 1 1
Direct
0.7042 0.7042 0.8875
0.2958 0.2958 0.1125
0.0000 0.0000 0.0000
0.5000 0.5000 0.5000
```

Energy of formation in meV per atom: 297
M_tot in μB per formula unit: 0.000
Crystal system: trigonal
Volume in Å³/f.u.: 72.3

# 3
Dy2V2Fe15 | PBE | optimized geometry

Structure (POSCAR):
```
Dy2V2Fe15
1.0
6.3807 0.0336 0.0299
0.8611 6.3224 0.0299
0.8611 0.7558 6.2771
V Fe Dy
2 15 2
Direct
0.0960 0.0960 0.0960
0.9040 0.9040 0.9040
0.0000 0.6972 0.3028
0.3404 0.3404 0.8427
0.6596 0.6596 0.1573
0.5000 0.0000 0.0000
0.0000 0.0000 0.5000
0.6972 0.3028 0.0000
0.0000 0.5000 0.0000
0.1573 0.6596 0.6596
0.8427 0.3404 0.3404
0.3404 0.8427 0.3404
0.3028 0.6972 0.0000
0.3028 0.0000 0.6972
0.6972 0.0000 0.3028
0.0000 0.3028 0.6972
0.6596 0.1573 0.6596
0.6546 0.6546 0.6546
0.3454 0.3454 0.3454
```

Energy of formation in meV per atom: -51
M_tot in μB per formula unit: 27.554
Crystal system: trigonal
Volume in Å³/f.u.: 252.8

# 4
DyVFe2 | PBE | optimized geometry

Structure (POSCAR):
```
DyVFe2
1.0
-0.1985 -1.8690 2.3989
2.5268 -0.8821 1.4576
0.1814 5.2941 6.0754
V Fe Dy
1 2 1
Direct
0.0000 0.0000 0.0000
0.7371 0.7371 0.7887
0.2629 0.2629 0.2113
0.5000 0.5000 0.5000
```

Energy of formation in meV per atom: 436
M_tot in μB per formula unit: 2.430
Crystal system: trigonal
Volume in Å³/f.u.: 63.3

# 5
DyFe4W | PBE | optimized geometry

Structure (POSCAR):
```
DyFe4W
1.0
-3.8667 0.6909 -2.9836
-0.0615 -2.0698 -4.4769
-3.0810 -3.7333 -0.9490
Fe W Dy
4 1 1
Direct
0.6240 0.6239 0.1282
0.6240 0.6239 0.6239
0.6240 0.1282 0.6239
0.1282 0.6239 0.6239
0.2500 0.2500 0.2500
0.0000 0.0000 0.0000
```

Energy of formation in meV per atom: 116
M_tot in μB per formula unit: 6.353
Crystal system: cubic
Volume in Å³/f.u.: 84.9

# 6
DyYFe4 | PBE | optimized geometry

Structure (POSCAR):
```
DyYFe4
1.0
5.1389 0.0000 0.0000
-2.5694 4.4504 0.0000
2.5694 1.4835 4.1959
Dy Fe Y
1 4 1
Direct
0.5000 0.7500 0.7500
0.2497 0.8745 0.3752
0.7503 0.3752 0.3752
0.2497 0.3752 0.3752
0.7503 0.3752 0.8745
0.0000 0.0000 0.0000
```

Energy of formation in meV per atom: -73
M_tot in μB per formula unit: 6.688
Crystal system: cubic
Volume in Å³/f.u.: 96.0

Number 5 is which compound? DyFe4W